This record from Alexandria via LeMat-Bulk describes a relaxed CaPr2Cu2Si2 crystal. The functional is PBE.

Cell lengths 4.196, 4.196, 11.329 Å; angles 79.33, 79.33, 60.00 degrees
Last column: magnetic moment on the atom in μB.
Fractional positions:
Ca 0.000 0.000 0.000  0.01
Pr 0.116 0.116 0.652  0.09
Pr 0.884 0.884 0.348  0.09
Cu 0.608 0.608 0.177  0.00
Cu 0.392 0.392 0.823  0.00
Si 0.729 0.729 0.814  0.00
Si 0.271 0.271 0.186  0.00

Properties
- calculated volume (A^3/atom) = 24.106
- energy (eV per atom) = -4.783
- ρ (g/cm3) = 5.0
- total magnetic moment (μB per formula unit) = 0.73